(1)
LaNb2HO7 | PBE | optimized geometry

The structure in CIF format:
```
data_LaNb2HO7
_cell_length_a 3.9279
_cell_length_b 3.9279
_cell_length_c 10.9679
_cell_angle_alpha 90.00
_cell_angle_beta 90.00
_cell_angle_gamma 90.00
_space_group_name_H-M_alt 'P 1'
_space_group_IT_number 1
loop_
_space_group_symop_operation_xyz
'x,y,z'
loop_
_atom_site_label
_atom_site_fract_x
_atom_site_fract_y
_atom_site_fract_z
_atom_site_occupancy
O1 0.5000 0.0000 0.1656 1
O2 0.5000 0.0000 0.8344 1
O3 0.0000 0.5000 0.1656 1
O4 0.0000 0.0000 0.6254 1
O5 0.0000 0.0000 0.3746 1
O6 0.0000 0.0000 0.0000 1
O7 0.0000 0.5000 0.8344 1
Nb1 0.0000 0.0000 0.2140 1
Nb2 0.0000 0.0000 0.7860 1
La1 0.5000 0.5000 0.0000 1
H1 0.5000 0.5000 0.5000 1
```

M_tot: 1.54 μB/f.u.
space-group type: P4/mmm
total energy: -86.06 eV/cell

---

(2)
SmCd2Rh | PBE | optimized geometry

The structure in CIF format:
```
data_SmCd2Rh
_cell_length_a 5.1751
_cell_length_b 4.1018
_cell_length_c 4.1018
_cell_angle_alpha 90.00
_cell_angle_beta 90.00
_cell_angle_gamma 90.00
_space_group_name_H-M_alt 'P 1'
_space_group_IT_number 1
loop_
_space_group_symop_operation_xyz
'x,y,z'
loop_
_atom_site_label
_atom_site_fract_x
_atom_site_fract_y
_atom_site_fract_z
_atom_site_occupancy
Cd1 0.0000 0.0000 0.5000 1
Cd2 0.0000 0.5000 0.0000 1
Rh1 0.5000 0.5000 0.5000 1
Sm1 0.5000 0.0000 0.0000 1
```

M_tot: 0.00 μB/f.u.
DFT formation energy: -305 meV per atom
space-group type: P4/mmm

---

(3)
Ba2HfPSe | PBE | optimized geometry

The structure in CIF format:
```
data_Ba2HfPSe
_cell_length_a 6.1696
_cell_length_b 4.9864
_cell_length_c 6.1696
_cell_angle_alpha 90.00
_cell_angle_beta 90.00
_cell_angle_gamma 90.00
_space_group_name_H-M_alt 'P 1'
_space_group_IT_number 1
loop_
_space_group_symop_operation_xyz
'x,y,z'
loop_
_atom_site_label
_atom_site_fract_x
_atom_site_fract_y
_atom_site_fract_z
_atom_site_occupancy
Ba1 0.5000 0.0000 0.0000 1
Ba2 0.0000 0.0000 0.5000 1
P1 0.0000 0.5000 0.0000 1
Se1 0.0000 0.0000 0.0000 1
Hf1 0.5000 0.5000 0.5000 1
```

raw formation energy: 1.6 eV/f.u.
M_tot: 2.82 μB/f.u.
space-group type: P4/mmm